1.
Compound: CdOs2Pt
Source: the Alexandria database
Functional: PBE-GGA
Structure: relaxed

It has space group Cmm2 (No. 35), with a = 2.798 Å, b = 4.787 Å, c = 9.716 Å, α = 90.00°, β = 90.00° and γ = 90.00°. The inequivalent atoms are Cd at (0.000, 0.000, 0.000), Os at (0.000, 0.000, 0.492), Os at (0.000, 0.500, 0.267) and Pt at (0.000, 0.500, 0.740).



2.
Compound: CdOsPt
Source: the Alexandria database
Functional: PBE-GGA
Structure: relaxed

It has space group P3m1 (No. 156), with a = 2.8408 Å, b = 2.8408 Å, c = 7.0196 Å, α = 90.00°, β = 90.00° and γ = 120.00°. The inequivalent atoms are Cd at (0.0000, 0.0000, 0.0000), Os at (0.6667, 0.3333, 0.3474) and Pt at (0.3333, 0.6667, 0.6526).



3.
Compound: CdOs2Pt
Source: the Alexandria database
Functional: PBE-GGA
Structure: relaxed

It has space group P4/mmm (No. 123), with a = 4.489 Å, b = 4.489 Å, c = 3.170 Å, α = 90.00°, β = 90.00° and γ = 90.00°. The inequivalent atoms are Cd at (0.000, 0.000, 0.000), Os at (0.000, 0.500, 0.500) and Pt at (0.500, 0.500, 0.000).



4.
Compound: CdOsPt2
Source: the Alexandria database
Functional: PBE-GGA
Structure: relaxed

It has space group Cm (No. 8), with a = 9.409 Å, b = 2.789 Å, c = 5.000 Å, α = 90.00°, β = 99.19° and γ = 90.00°. The inequivalent atoms are Cd at (0.000, 0.000, 0.000), Os at (0.248, 0.000, 0.695), Pt at (0.007, 0.500, 0.511) and Pt at (0.253, 0.500, 0.227).



5.
Compound: CdOs2Pt
Source: the Alexandria database
Functional: PBE-GGA
Structure: relaxed

It has space group I4/mmm (No. 139), with a = 3.925 Å, b = 3.925 Å, c = 8.182 Å, α = 90.00°, β = 90.00° and γ = 90.00°. The inequivalent atoms are Cd at (0.000, 0.000, 0.000), Os at (0.000, 0.500, 0.250) and Pt at (0.000, 0.000, 0.500).



6.
Compound: CdOsPt4
Source: the Alexandria database
Functional: PBE-GGA
Structure: relaxed

It has space group F-43m (No. 216), with a = 7.448 Å, b = 7.448 Å, c = 7.448 Å, α = 90.00°, β = 90.00° and γ = 90.00°. The inequivalent atoms are Cd at (0.000, 0.000, 0.000), Os at (0.250, 0.250, 0.750) and Pt at (0.125, 0.125, 0.375).



7.
Compound: CdOs2Pt
Source: the Alexandria database
Functional: PBE-GGA
Structure: relaxed

It has space group P4/mmm (No. 123), with a = 3.838 Å, b = 3.838 Å, c = 4.322 Å, α = 90.00°, β = 90.00° and γ = 90.00°. The inequivalent atoms are Cd at (0.000, 0.000, 0.000), Os at (0.000, 0.500, 0.500) and Pt at (0.500, 0.500, 0.000).



8.
Compound: CdOs3Pt
Source: the Alexandria database
Functional: PBE-GGA
Structure: relaxed

It has space group Pm-3m (No. 221), with a = 4.777 Å, b = 4.777 Å, c = 4.777 Å, α = 90.00°, β = 90.00° and γ = 90.00°. The inequivalent atoms are Cd at (0.000, 0.000, 0.000), Os at (0.000, 0.500, 0.500) and Pt at (0.500, 0.500, 0.500).



9.
Compound: CdOsPt2
Source: the Alexandria database
Functional: PBE-GGA
Structure: relaxed

It has space group I-4m2 (No. 119), with a = 4.045 Å, b = 4.045 Å, c = 7.886 Å, α = 90.00°, β = 90.00° and γ = 90.00°. The inequivalent atoms are Cd at (0.000, 0.000, 0.000), Os at (0.000, 0.500, 0.750), Pt at (0.000, 0.000, 0.500) and Pt at (0.000, 0.500, 0.250).



10.
Compound: CdOsPt2
Source: the Alexandria database
Functional: PBE-GGA
Structure: relaxed

It has space group Pmmm (No. 47), with a = 2.795 Å, b = 4.007 Å, c = 5.783 Å, α = 90.00°, β = 90.00° and γ = 90.00°. The inequivalent atoms are Cd at (0.000, 0.000, 0.000), Os at (0.000, 0.000, 0.500) and Pt at (0.500, 0.500, 0.269).



11.
Compound: CdOsPt2
Source: the Alexandria database
Functional: PBE-GGA
Structure: relaxed

It has space group P4mm (No. 99), with a = 3.303 Å, b = 3.303 Å, c = 6.067 Å, α = 90.00°, β = 90.00° and γ = 90.00°. The inequivalent atoms are Cd at (0.000, 0.000, 0.000), Os at (0.500, 0.500, 0.286), Pt at (0.000, 0.000, 0.489) and Pt at (0.500, 0.500, 0.742).



12.
Compound: CdOs2Pt
Source: the Alexandria database
Functional: PBE-GGA
Structure: relaxed

It has space group F-43m (No. 216), with a = 6.356 Å, b = 6.356 Å, c = 6.356 Å, α = 90.00°, β = 90.00° and γ = 90.00°. The inequivalent atoms are Cd at (0.000, 0.000, 0.000), Os at (0.000, 0.000, 0.500), Os at (0.250, 0.250, 0.750) and Pt at (0.250, 0.250, 0.250).



13.
Compound: Cd2OsPt
Source: the Alexandria database
Functional: PBE-GGA
Structure: relaxed

It has space group Pmmm (No. 47), with a = 2.798 Å, b = 4.190 Å, c = 5.895 Å, α = 90.00°, β = 90.00° and γ = 90.00°. The inequivalent atoms are Cd at (0.000, 0.000, 0.248), Os at (0.500, 0.500, 0.000) and Pt at (0.500, 0.500, 0.500).



14.
Compound: CdOs2Pt
Source: the Alexandria database
Functional: PBE-GGA
Structure: relaxed

It has space group Cmmm (No. 65), with a = 2.774 Å, b = 4.771 Å, c = 9.736 Å, α = 90.00°, β = 90.00° and γ = 90.00°. The inequivalent atoms are Cd at (0.000, 0.000, 0.000), Os at (0.000, 0.500, 0.258) and Pt at (0.000, 0.000, 0.500).



15.
Compound: CdOs2Pt
Source: the Alexandria database
Functional: PBE-GGA
Structure: relaxed

It has space group Cm (No. 8), with a = 9.231 Å, b = 2.779 Å, c = 5.021 Å, α = 90.00°, β = 98.92° and γ = 90.00°. The inequivalent atoms are Cd at (0.000, 0.000, 0.000), Os at (0.259, 0.500, 0.311), Os at (0.498, 0.000, 0.486) and Pt at (0.245, 0.000, 0.775).



16.
Compound: CdOsPt2
Source: the Alexandria database
Functional: PBE-GGA
Structure: relaxed

It has space group R3m (No. 160, hexagonal axes), with a = 2.8203 Å, b = 2.8203 Å, c = 28.1350 Å, α = 90.00°, β = 90.00° and γ = 120.00°. The inequivalent atoms are Cd at (0.0000, 0.0000, 0.0000), Os at (0.0000, 0.0000, 0.2463), Pt at (0.0000, 0.0000, 0.5031) and Pt at (0.0000, 0.0000, 0.7530).



17.
Compound: CdOsPt2
Source: the Alexandria database
Functional: PBE-GGA
Structure: relaxed

It has space group Immm (No. 71), with a = 2.777 Å, b = 4.920 Å, c = 9.772 Å, α = 90.00°, β = 90.00° and γ = 90.00°. The inequivalent atoms are Cd at (0.000, 0.000, 0.000), Os at (0.000, 0.000, 0.500) and Pt at (0.000, 0.500, 0.235).



18.
Compound: Cd2OsPt
Source: the Alexandria database
Functional: PBE-GGA
Structure: relaxed

It has space group I-4m2 (No. 119), with a = 4.185 Å, b = 4.185 Å, c = 7.926 Å, α = 90.00°, β = 90.00° and γ = 90.00°. The inequivalent atoms are Cd at (0.000, 0.000, 0.000), Cd at (0.000, 0.500, 0.250), Os at (0.000, 0.500, 0.750) and Pt at (0.000, 0.000, 0.500).



19.
Compound: CdOsPt2
Source: the Alexandria database
Functional: PBE-GGA
Structure: relaxed

It has space group C2/m (No. 12), with a = 9.198 Å, b = 2.786 Å, c = 5.136 Å, α = 90.00°, β = 98.51° and γ = 90.00°. The inequivalent atoms are Cd at (0.000, 0.000, 0.000), Os at (0.000, 0.500, 0.500) and Pt at (0.243, 0.000, 0.732).



20.
Compound: CdOs2Pt
Source: the Alexandria database
Functional: PBE-GGA
Structure: relaxed

It has space group Pmmm (No. 47), with a = 2.765 Å, b = 4.735 Å, c = 4.925 Å, α = 90.00°, β = 90.00° and γ = 90.00°. The inequivalent atoms are Cd at (0.000, 0.000, 0.000), Os at (0.000, 0.500, 0.500), Os at (0.500, 0.000, 0.500) and Pt at (0.500, 0.500, 0.000).



| no. | magnetic moment (μB/cell) | energy relative to the elements (kJ/mol of atoms) |
| --- | --- | --- |
| 1 | 1.85 | 43.1 |
| 2 | 0.00 | 23.9 |
| 3 | 0.67 | 79.3 |
| 4 | 0.00 | 10.1 |
| 5 | 0.00 | 53.9 |
| 6 | 9.81 | 40.0 |
| 7 | 0.00 | 55.7 |
| 8 | 0.00 | 233.9 |
| 9 | 0.00 | 27.3 |
| 10 | 0.00 | 10.8 |
| 11 | 0.00 | 28.3 |
| 12 | 1.08 | 65.8 |
| 13 | 0.00 | 31.3 |
| 14 | 0.01 | 60.3 |
| 15 | 0.00 | 33.4 |
| 16 | 0.00 | 14.7 |
| 17 | 1.62 | 32.8 |
| 18 | 1.84 | 41.7 |
| 19 | 0.00 | 19.9 |
| 20 | 0.28 | 53.5 |